Run 1
Below is LiCuTcSb after structural relaxation, with properties calculated at the GGA-PBE level.

Summary:
As for the size of the total moment: 0.12 μB per cell. Its theoretical density is 8.144 g/cm3. Its crystal system is cubic.

Cell and atoms, written as CIF:
```
data_LiCuTcSb
_symmetry_space_group_name_H-M 'F -4 3 m'
_symmetry_Int_Tables_number 216
_symmetry_space_group_name_Hall 'F -4 2 3'
_cell_length_a 6.186
_cell_length_b 6.186
_cell_length_c 6.186
_cell_angle_alpha 90.00
_cell_angle_beta 90.00
_cell_angle_gamma 90.00
loop_
_atom_site_label
_atom_site_type_symbol
_atom_site_fract_x
_atom_site_fract_y
_atom_site_fract_z
Li1 Li 0.000 0.000 0.000
Cu1 Cu 0.000 0.000 0.500
Tc1 Tc 0.250 0.250 0.750
Sb1 Sb 0.250 0.250 0.250
```

Run 2
Below is LiCuTcSb after structural relaxation, with properties calculated at the GGA-PBE level.

Summary:
As for the size of the total moment: 0.00 μB per cell. Its theoretical density is 8.029 g/cm3. Its crystal system is cubic.

Cell and atoms, written as CIF:
```
data_LiCuTcSb
_symmetry_space_group_name_H-M 'F -4 3 m'
_symmetry_Int_Tables_number 216
_symmetry_space_group_name_Hall 'F -4 2 3'
_cell_length_a 6.215
_cell_length_b 6.215
_cell_length_c 6.215
_cell_angle_alpha 90.00
_cell_angle_beta 90.00
_cell_angle_gamma 90.00
loop_
_atom_site_label
_atom_site_type_symbol
_atom_site_fract_x
_atom_site_fract_y
_atom_site_fract_z
Li1 Li 0.000 0.000 0.000
Cu1 Cu 0.250 0.250 0.750
Tc1 Tc 0.250 0.250 0.250
Sb1 Sb 0.000 0.000 0.500
```

The structure with the greatest stability is run 2.

Run 1
Below is LiCuSbW after structural relaxation, with properties calculated at the GGA-PBE level.

Summary:
As for the size of the total moment: 6.18 μB per cell. Its theoretical density is 9.956 g/cm3. Its crystal system is cubic.

Cell and atoms, written as CIF:
```
data_LiCuSbW
_symmetry_space_group_name_H-M 'F -4 3 m'
_symmetry_Int_Tables_number 216
_symmetry_space_group_name_Hall 'F -4 2 3'
_cell_length_a 6.307
_cell_length_b 6.307
_cell_length_c 6.307
_cell_angle_alpha 90.00
_cell_angle_beta 90.00
_cell_angle_gamma 90.00
loop_
_atom_site_label
_atom_site_type_symbol
_atom_site_fract_x
_atom_site_fract_y
_atom_site_fract_z
Li1 Li 0.000 0.000 0.000
Cu1 Cu 0.000 0.000 0.500
Sb1 Sb 0.250 0.250 0.250
W1 W 0.250 0.250 0.750
```

Run 2
Below is LiCuSbW after structural relaxation, with properties calculated at the GGA-PBE level.

Summary:
As for the size of the total moment: 0.06 μB per cell. Its theoretical density is 9.888 g/cm3. Its crystal system is cubic.

Cell and atoms, written as CIF:
```
data_LiCuSbW
_symmetry_space_group_name_H-M 'F -4 3 m'
_symmetry_Int_Tables_number 216
_symmetry_space_group_name_Hall 'F -4 2 3'
_cell_length_a 6.322
_cell_length_b 6.322
_cell_length_c 6.322
_cell_angle_alpha 90.00
_cell_angle_beta 90.00
_cell_angle_gamma 90.00
loop_
_atom_site_label
_atom_site_type_symbol
_atom_site_fract_x
_atom_site_fract_y
_atom_site_fract_z
Li1 Li 0.000 0.000 0.000
Cu1 Cu 0.250 0.250 0.750
Sb1 Sb 0.000 0.000 0.500
W1 W 0.250 0.250 0.250
```

The structure with the greatest stability is run 2.

Run 1
Below is LiYCuSb after structural relaxation, with properties calculated at the GGA-PBE level.

Summary:
As for the size of the total moment: 0.00 μB per cell. Its theoretical density is 6.173 g/cm3. Its crystal system is cubic.

Cell and atoms, written as CIF:
```
data_LiYCuSb
_symmetry_space_group_name_H-M 'F -4 3 m'
_symmetry_Int_Tables_number 216
_symmetry_space_group_name_Hall 'F -4 2 3'
_cell_length_a 6.713
_cell_length_b 6.713
_cell_length_c 6.713
_cell_angle_alpha 90.00
_cell_angle_beta 90.00
_cell_angle_gamma 90.00
loop_
_atom_site_label
_atom_site_type_symbol
_atom_site_fract_x
_atom_site_fract_y
_atom_site_fract_z
Li1 Li 0.000 0.000 0.000
Y1 Y 0.250 0.250 0.750
Cu1 Cu 0.000 0.000 0.500
Sb1 Sb 0.250 0.250 0.250
```

Run 2
Below is LiYCuSb after structural relaxation, with properties calculated at the GGA-PBE level.

Summary:
As for the size of the total moment: 0.01 μB per cell. Its theoretical density is 5.664 g/cm3. Its crystal system is cubic.

Cell and atoms, written as CIF:
```
data_LiYCuSb
_symmetry_space_group_name_H-M 'F -4 3 m'
_symmetry_Int_Tables_number 216
_symmetry_space_group_name_Hall 'F -4 2 3'
_cell_length_a 6.908
_cell_length_b 6.908
_cell_length_c 6.908
_cell_angle_alpha 90.00
_cell_angle_beta 90.00
_cell_angle_gamma 90.00
loop_
_atom_site_label
_atom_site_type_symbol
_atom_site_fract_x
_atom_site_fract_y
_atom_site_fract_z
Li1 Li 0.000 0.000 0.000
Y1 Y 0.250 0.250 0.250
Cu1 Cu 0.250 0.250 0.750
Sb1 Sb 0.000 0.000 0.500
```

The structure with the greatest stability is run 1.

Run 1
Below is LiScCuSi after structural relaxation, with properties calculated at the GGA-PBE level.

Summary:
As for the size of the total moment: 0.00 μB per cell. Its theoretical density is 3.948 g/cm3. Its crystal system is cubic.

Cell and atoms, written as CIF:
```
data_LiScCuSi
_symmetry_space_group_name_H-M 'F -4 3 m'
_symmetry_Int_Tables_number 216
_symmetry_space_group_name_Hall 'F -4 2 3'
_cell_length_a 6.227
_cell_length_b 6.227
_cell_length_c 6.227
_cell_angle_alpha 90.00
_cell_angle_beta 90.00
_cell_angle_gamma 90.00
loop_
_atom_site_label
_atom_site_type_symbol
_atom_site_fract_x
_atom_site_fract_y
_atom_site_fract_z
Li1 Li 0.000 0.000 0.000
Sc1 Sc 0.000 0.000 0.500
Cu1 Cu 0.250 0.250 0.750
Si1 Si 0.250 0.250 0.250
```

Run 2
Below is LiScCuSi after structural relaxation, with properties calculated at the GGA-PBE level.

Summary:
As for the size of the total moment: 0.00 μB per cell. Its theoretical density is 4.282 g/cm3. Its crystal system is cubic.

Cell and atoms, written as CIF:
```
data_LiScCuSi
_symmetry_space_group_name_H-M 'F -4 3 m'
_symmetry_Int_Tables_number 216
_symmetry_space_group_name_Hall 'F -4 2 3'
_cell_length_a 6.061
_cell_length_b 6.061
_cell_length_c 6.061
_cell_angle_alpha 90.00
_cell_angle_beta 90.00
_cell_angle_gamma 90.00
loop_
_atom_site_label
_atom_site_type_symbol
_atom_site_fract_x
_atom_site_fract_y
_atom_site_fract_z
Li1 Li 0.000 0.000 0.000
Sc1 Sc 0.250 0.250 0.750
Cu1 Cu 0.000 0.000 0.500
Si1 Si 0.250 0.250 0.250
```

Run 3
Below is LiScCuSi after structural relaxation, with properties calculated at the GGA-PBE level.

Summary:
As for the size of the total moment: 0.00 μB per cell. Its theoretical density is 4.176 g/cm3. Its crystal system is cubic.

Cell and atoms, written as CIF:
```
data_LiScCuSi
_symmetry_space_group_name_H-M 'F -4 3 m'
_symmetry_Int_Tables_number 216
_symmetry_space_group_name_Hall 'F -4 2 3'
_cell_length_a 6.112
_cell_length_b 6.112
_cell_length_c 6.112
_cell_angle_alpha 90.00
_cell_angle_beta 90.00
_cell_angle_gamma 90.00
loop_
_atom_site_label
_atom_site_type_symbol
_atom_site_fract_x
_atom_site_fract_y
_atom_site_fract_z
Li1 Li 0.000 0.000 0.000
Sc1 Sc 0.250 0.250 0.750
Cu1 Cu 0.250 0.250 0.250
Si1 Si 0.000 0.000 0.500
```

The structure with the greatest stability is run 1.

Run 1
Below is LiScCuSn after structural relaxation, with properties calculated at the GGA-PBE level.

Summary:
As for the size of the total moment: 0.00 μB per cell. Its theoretical density is 5.410 g/cm3. Its crystal system is cubic.

Cell and atoms, written as CIF:
```
data_LiScCuSn
_symmetry_space_group_name_H-M 'F -4 3 m'
_symmetry_Int_Tables_number 216
_symmetry_space_group_name_Hall 'F -4 2 3'
_cell_length_a 6.600
_cell_length_b 6.600
_cell_length_c 6.600
_cell_angle_alpha 90.00
_cell_angle_beta 90.00
_cell_angle_gamma 90.00
loop_
_atom_site_label
_atom_site_type_symbol
_atom_site_fract_x
_atom_site_fract_y
_atom_site_fract_z
Li1 Li 0.000 0.000 0.000
Sc1 Sc 0.000 0.000 0.500
Cu1 Cu 0.250 0.250 0.250
Sn1 Sn 0.250 0.250 0.750
```

Run 2
Below is LiScCuSn after structural relaxation, with properties calculated at the GGA-PBE level.

Summary:
As for the size of the total moment: 0.04 μB per cell. Its theoretical density is 5.533 g/cm3. Its crystal system is cubic.

Cell and atoms, written as CIF:
```
data_LiScCuSn
_symmetry_space_group_name_H-M 'F -4 3 m'
_symmetry_Int_Tables_number 216
_symmetry_space_group_name_Hall 'F -4 2 3'
_cell_length_a 6.551
_cell_length_b 6.551
_cell_length_c 6.551
_cell_angle_alpha 90.00
_cell_angle_beta 90.00
_cell_angle_gamma 90.00
loop_
_atom_site_label
_atom_site_type_symbol
_atom_site_fract_x
_atom_site_fract_y
_atom_site_fract_z
Li1 Li 0.000 0.000 0.000
Sc1 Sc 0.250 0.250 0.250
Cu1 Cu 0.250 0.250 0.750
Sn1 Sn 0.000 0.000 0.500
```

Run 3
Below is LiScCuSn after structural relaxation, with properties calculated at the GGA-PBE level.

Summary:
As for the size of the total moment: 0.00 μB per cell. Its theoretical density is 5.892 g/cm3. Its crystal system is cubic.

Cell and atoms, written as CIF:
```
data_LiScCuSn
_symmetry_space_group_name_H-M 'F -4 3 m'
_symmetry_Int_Tables_number 216
_symmetry_space_group_name_Hall 'F -4 2 3'
_cell_length_a 6.415
_cell_length_b 6.415
_cell_length_c 6.415
_cell_angle_alpha 90.00
_cell_angle_beta 90.00
_cell_angle_gamma 90.00
loop_
_atom_site_label
_atom_site_type_symbol
_atom_site_fract_x
_atom_site_fract_y
_atom_site_fract_z
Li1 Li 0.000 0.000 0.000
Sc1 Sc 0.250 0.250 0.750
Cu1 Cu 0.000 0.000 0.500
Sn1 Sn 0.250 0.250 0.250
```

The structure with the greatest stability is run 3.

Run 1
Below is LiScCuTe3 after structural relaxation, with properties calculated at the GGA-PBE level.

Summary:
As for the size of the total moment: 0.00 μB per cell. Its theoretical density is 5.383 g/cm3. Its crystal system is monoclinic.

Cell and atoms, written as CIF:
```
data_LiScCuTe3
_symmetry_space_group_name_H-M 'P 1 21/m 1'
_symmetry_Int_Tables_number 11
_symmetry_space_group_name_Hall '-P 2yb'
_cell_length_a 8.400
_cell_length_b 3.940
_cell_length_c 9.738
_cell_angle_alpha 90.00
_cell_angle_beta 107.51
_cell_angle_gamma 90.00
loop_
_atom_site_label
_atom_site_type_symbol
_atom_site_fract_x
_atom_site_fract_y
_atom_site_fract_z
Li1 Li 0.196 0.250 0.226
Sc1 Sc 0.324 0.750 0.837
Cu1 Cu 0.080 0.250 0.589
Te1 Te 0.079 0.250 0.856
Te2 Te 0.250 0.750 0.523
Te3 Te 0.420 0.750 0.157
```

Run 2
Below is LiScCuTe3 after structural relaxation, with properties calculated at the GGA-PBE level.

Summary:
As for the size of the total moment: 0.03 μB per cell. Its theoretical density is 5.500 g/cm3. Its crystal system is orthorhombic.

Cell and atoms, written as CIF:
```
data_LiScCuTe3
_symmetry_space_group_name_H-M 'C m c m'
_symmetry_Int_Tables_number 63
_symmetry_space_group_name_Hall '-C 2c 2'
_cell_length_a 3.910
_cell_length_b 14.561
_cell_length_c 10.566
_cell_angle_alpha 90.00
_cell_angle_beta 90.00
_cell_angle_gamma 90.00
loop_
_atom_site_label
_atom_site_type_symbol
_atom_site_fract_x
_atom_site_fract_y
_atom_site_fract_z
Li1 Li 0.000 0.223 0.250
Sc1 Sc 0.000 0.000 0.000
Cu1 Cu 0.000 0.480 0.750
Te1 Te 0.000 0.098 0.750
Te2 Te 0.000 0.361 0.567
```

The structure with the greatest stability is run 1.